1.
Density functional theory data (PBE) for ZrTlGa2Cl after structural relaxation.

Cell: 5.177 5.395 5.177 Å, 90.00 90.00 90.00°
Element x y z (fractional)
Ga 0.000 0.000 0.500
Zr 0.500 0.500 0.500
Tl 0.000 0.000 0.000
Ga 0.500 0.000 0.000
Cl 0.000 0.500 0.000

Results
The uncorrected formation energy comes out at 0.79 eV/atom. Its density is 5.40 g/cm³. Its volume is 28.92 A^3/atom.

2.
Density functional theory data (PBE) for Tm3MgCu after structural relaxation.

Cell: 5.074 6.238 9.027 Å, 120.11 90.00 90.00°
Element x y z (fractional)
Tm 0.250 0.993 0.732
Mg 0.750 0.700 0.812
Tm 0.750 0.007 0.268
Cu 0.750 0.195 0.648
Cu 0.250 0.805 0.352
Tm 0.750 0.658 0.443
Mg 0.250 0.300 0.188
Tm 0.750 0.325 0.997
Tm 0.250 0.675 0.003
Tm 0.250 0.342 0.557

Results
Its density is 7.99 g/cm³. The value obtained for the formation energy is -0.08 eV/atom. Its volume is 24.72 A^3/atom.

3.
Density functional theory data (PBE) for ZrTe2Se after structural relaxation.

Cell: 5.674 5.674 3.687 Å, 90.00 90.00 120.65°
Element x y z (fractional)
Te 0.500 0.500 0.000
Se 0.000 0.500 0.500
Te 0.000 0.000 0.000
Zr 0.500 0.000 0.500

Results
The uncorrected formation energy comes out at -0.10 eV/atom. Its density is 6.92 g/cm³. Its volume is 25.54 A^3/atom.